{"formula": "Nb4GaSe8", "functional": "meta-GGA SCAN", "state": "single point on PBEsol structure", "magmom_total_mub_per_fu": 0.002, "dos_at_fermi_per_ev_fu": 6.3, "space_group": "No. 216", "formation_energy_uncorrected_ev_per_atom": -0.894, "dft_energy_ev_per_atom": -24.7013, "lattice": [[0.000, 5.192, 5.192], [5.192, 0.000, 5.192], [5.192, 5.192, 0.000]], "species": ["Nb", "Nb", "Nb", "Nb", "Ga", "Se", "Se", "Se", "Se", "Se", "Se", "Se", "Se"], "frac_coords": [[0.103, 0.103, 0.103], [0.103, 0.103, 0.691], [0.103, 0.691, 0.103], [0.691, 0.103, 0.103], [0.500, 0.500, 0.500], [0.365, 0.365, 0.365], [0.365, 0.365, 0.905], [0.365, 0.905, 0.365], [0.409, 0.864, 0.864], [0.864, 0.409, 0.864], [0.864, 0.864, 0.409], [0.864, 0.864, 0.864], [0.905, 0.365, 0.365]]}

{"formula": "Li2IrRh", "functional": "meta-GGA SCAN", "state": "single point on PBEsol structure", "magmom_total_mub_per_fu": 0.000, "dos_at_fermi_per_ev_fu": 2.8, "space_group": "No. 8", "dft_energy_ev_per_atom": -27.6145, "lattice": [[4.464, -1.333, 0.000], [4.464, 1.333, 0.000], [-0.833, 0.000, 4.509]], "species": ["Li", "Li", "Ir", "Rh"], "frac_coords": [[0.000, 0.000, 0.000], [0.238, 0.238, 0.830], [0.490, 0.490, 0.487], [0.747, 0.747, 0.349]]}

{"formula": "AsWBr2", "functional": "meta-GGA SCAN", "state": "single point on PBEsol structure", "magmom_total_mub_per_fu": 1.033, "dos_at_fermi_per_ev_fu": 0.7, "space_group": "No. 122", "formation_energy_uncorrected_ev_per_atom": 0.320, "dft_energy_ev_per_atom": -31.8794, "lattice": [[-4.561, 4.561, 2.411], [4.561, -4.561, 2.411], [4.561, 4.561, -2.411]], "species": ["As", "As", "W", "W", "Br", "Br", "Br", "Br"], "frac_coords": [[0.000, 0.000, 0.000], [0.750, 0.250, 0.500], [0.250, 0.750, 0.500], [0.500, 0.500, 0.000], [0.257, 0.125, 0.632], [0.375, 0.743, 0.868], [0.493, 0.625, 0.368], [0.875, 0.507, 0.132]]}

{"formula": "BaReCl2", "functional": "meta-GGA SCAN", "state": "single point on PBEsol structure", "magmom_total_mub_per_fu": 5.000, "dos_at_fermi_per_ev_fu": 3.2, "space_group": "No. 225", "formation_energy_uncorrected_ev_per_atom": -0.087, "dft_energy_ev_per_atom": -31.7374, "lattice": [[0.000, 3.699, 3.699], [3.699, 0.000, 3.699], [3.699, 3.699, 0.000]], "species": ["Ba", "Re", "Cl", "Cl"], "frac_coords": [[0.000, 0.000, 0.000], [0.500, 0.500, 0.500], [0.250, 0.250, 0.250], [0.750, 0.750, 0.750]]}

{"formula": "RePdCl2", "functional": "meta-GGA SCAN", "state": "single point on PBEsol structure", "magmom_total_mub_per_fu": 0.000, "dos_at_fermi_per_ev_fu": 3.7, "space_group": "No. 166", "formation_energy_uncorrected_ev_per_atom": 0.382, "dft_energy_ev_per_atom": -29.5754, "lattice": [[1.466, 0.847, 8.647], [-1.466, 0.847, 8.647], [0.000, -1.693, 8.647]], "species": ["Re", "Pd", "Cl", "Cl"], "frac_coords": [[0.000, 0.000, 0.000], [0.500, 0.500, 0.500], [0.086, 0.086, 0.086], [0.914, 0.914, 0.914]]}

{"formula": "RbBi3Te", "functional": "meta-GGA SCAN", "state": "single point on PBEsol structure", "magmom_total_mub_per_fu": 0.000, "dos_at_fermi_per_ev_fu": 8.2, "space_group": "No. 221", "formation_energy_uncorrected_ev_per_atom": 0.337, "dft_energy_ev_per_atom": -58.4089, "lattice": [[5.930, 0.000, 0.000], [0.000, 5.930, 0.000], [0.000, 0.000, 5.930]], "species": ["Rb", "Bi", "Bi", "Bi", "Te"], "frac_coords": [[0.000, 0.000, 0.000], [0.000, 0.500, 0.500], [0.500, 0.000, 0.500], [0.500, 0.500, 0.000], [0.500, 0.500, 0.500]]}

Copy entry 5 word for word.
{"formula": "RePdCl2", "functional": "meta-GGA SCAN", "state": "single point on PBEsol structure", "magmom_total_mub_per_fu": 0.000, "dos_at_fermi_per_ev_fu": 3.7, "space_group": "No. 166", "formation_energy_uncorrected_ev_per_atom": 0.382, "dft_energy_ev_per_atom": -29.5754, "lattice": [[1.466, 0.847, 8.647], [-1.466, 0.847, 8.647], [0.000, -1.693, 8.647]], "species": ["Re", "Pd", "Cl", "Cl"], "frac_coords": [[0.000, 0.000, 0.000], [0.500, 0.500, 0.500], [0.086, 0.086, 0.086], [0.914, 0.914, 0.914]]}